DFT (GGA-PBE) results for a relaxed CuAgClF2 crystal. Values from VASP.

The structure in Quantum ESPRESSO input format:
```
&SYSTEM
  ibrav = 0, nat = 5, ntyp = 4
/
ATOMIC_SPECIES
F 19.00 F.upf
Cu 63.55 Cu.upf
Ag 107.87 Ag.upf
Cl 35.45 Cl.upf
ATOMIC_POSITIONS crystal
F 0.0000 0.5000 0.0000
F 0.5000 0.0000 0.0000
Cu 0.0000 0.0000 0.0000
Ag 0.5000 0.5000 0.5000
Cl 0.0000 0.0000 0.5000
CELL_PARAMETERS angstrom
3.8274 0.0000 0.0000
0.0000 3.8274 0.0000
0.0000 0.0000 5.6142
```

Values from the calculation:
Crystal system: tetragonal
DOS at the Fermi energy (states/eV/atom): 0.272
E_form (uncorrected) (eV per atom): -1.0281